# PBE KZn2GeSe4, relaxed
# Raw total energy (eV/atom): -3.2882
# Formation energy (no corrections) (eV/f.u.): -4.1
# Theoretical density (g/cm³): 4.01
# Spin magnetization (μB/f.u.): 0.0
data_KZn2GeSe4
_cell_length_a 8.992
_cell_length_b 9.027
_cell_length_c 11.398
_cell_angle_alpha 90.00
_cell_angle_beta 90.00
_cell_angle_gamma 90.00
_space_group_name_H-M_alt 'F m m 2'
_space_group_IT_number 42
_space_group_name_Hall 'F 2 -2'
loop_
_atom_site_label
_atom_site_type_symbol
_atom_site_fract_x
_atom_site_fract_y
_atom_site_fract_z
_atom_site_occupancy
K1 K 0.000 0.000 0.000 1
Zn1 Zn 0.250 0.250 0.248 1
Ge1 Ge 0.000 0.000 0.498 1
Se1 Se 0.000 0.211 0.645 1
Se2 Se 0.213 0.000 0.351 1